Computed, not measured: a relaxed structure of LiInIrO6 at the GGA-PBE level of DFT.

abc: 4.7918 4.7918 9.4148
angles: 90.00 90.00 90.00
Element x y z (fractional)
Ir1 0.5000 0.5000 0.8339
Ir2 0.0000 0.0000 0.3339
O1 0.1861 0.8139 0.1805
O2 0.7240 0.7240 0.3367
O3 0.3067 0.3067 0.9788
O4 0.2760 0.2760 0.3367
O5 0.6933 0.6933 0.9788
O6 0.2240 0.7760 0.8367
O7 0.1933 0.8067 0.4788
O8 0.6861 0.6861 0.6805
O9 0.3139 0.3139 0.6805
O10 0.8139 0.1861 0.1805
O11 0.8067 0.1933 0.4788
O12 0.7760 0.2240 0.8367
Li1 0.5000 0.5000 0.5027
Li2 0.0000 0.0000 0.0027
In1 0.0000 0.0000 0.6717
In2 0.5000 0.5000 0.1717

Computed properties:
Formation energy (no corrections) ... -0.896 eV/atom
Space group ... P4_2nm

---

Computed, not measured: a relaxed structure of Sc2MoAs2 at the GGA-PBE level of DFT.

abc: 6.7825 6.7825 3.8615
angles: 90.00 90.00 90.00
Element x y z (fractional)
As1 0.3588 0.8588 0.0000
As2 0.6412 0.1412 0.0000
As3 0.1412 0.3588 0.0000
As4 0.8588 0.6412 0.0000
Sc1 0.3321 0.1679 0.5000
Sc2 0.8321 0.3321 0.5000
Sc3 0.6679 0.8321 0.5000
Sc4 0.1679 0.6679 0.5000
Mo1 0.5000 0.5000 0.0000
Mo2 0.0000 0.0000 0.0000

Computed properties:
ΔE_f ... -81 kJ/mol of atoms
Space group ... P4/mbm

---

Computed, not measured: a relaxed structure of MoRhCl2 at the GGA-PBE level of DFT.

abc: 2.9610 2.9610 8.3624
angles: 90.00 90.00 90.00
Element x y z (fractional)
Rh1 0.5000 0.5000 0.7178
Mo1 0.0000 0.0000 0.5225
Cl1 0.5000 0.5000 0.3283
Cl2 0.0000 0.0000 0.9314

Computed properties:
Formation energy (no corrections) ... -0.153 eV/atom
Space group ... P4mm

---

Computed, not measured: a relaxed structure of AlZnCdAg3 at the GGA-PBE level of DFT.

abc: 3.0055 7.5640 9.4814
angles: 90.00 90.00 101.46
Element x y z (fractional)
Ag1 0.6587 0.3174 0.0040
Ag2 0.3413 0.6826 0.9960
Ag3 0.8988 0.7976 0.2500
Ag4 0.1012 0.2024 0.7500
Ag5 0.3413 0.6826 0.5040
Ag6 0.6587 0.3174 0.4960
Al1 0.0000 0.0000 0.5000
Al2 0.0000 0.0000 0.0000
Zn1 0.4481 0.8963 0.7500
Zn2 0.5519 0.1037 0.2500
Cd1 0.2258 0.4517 0.2500
Cd2 0.7742 0.5483 0.7500

Computed properties:
ΔE_f ... -2 kJ/mol of atoms
Space group ... Cmcm

---

Computed, not measured: a relaxed structure of TlInSiS4 at the GGA-PBE level of DFT.

abc: 7.5890 7.5890 7.4005
angles: 90.00 90.00 110.49
Element x y z (fractional)
S1 0.1693 0.2213 0.7500
S2 0.2403 0.7597 0.0232
S3 0.8307 0.7787 0.2500
S4 0.2213 0.1693 0.2500
S5 0.7597 0.2403 0.9768
S6 0.2403 0.7597 0.4768
S7 0.7787 0.8307 0.7500
S8 0.7597 0.2403 0.5232
In1 0.8765 0.1235 0.2500
In2 0.1235 0.8765 0.7500
Tl1 0.5000 0.5000 0.5000
Tl2 0.5000 0.5000 0.0000
Si1 0.8670 0.1330 0.7500
Si2 0.1330 0.8670 0.2500

Computed properties:
Formation energy (no corrections) ... -0.566 eV/atom
Space group ... Cmcm

---

Computed, not measured: a relaxed structure of AgHgSbPb at the GGA-PBE level of DFT.

abc: 5.2923 5.2923 5.2923
angles: 60.00 60.00 60.00
Element x y z (fractional)
Pb1 0.5000 0.5000 0.5000
Sb1 0.2500 0.2500 0.2500
Ag1 0.0000 0.0000 0.0000
Hg1 0.7500 0.7500 0.7500

Computed properties:
Formation energy (no corrections) ... 0.111 eV/atom
Space group ... F-43m

---

Computed, not measured: a relaxed structure of Mg8NiPd2 at the GGA-PBE level of DFT.

abc: 4.5459 6.4708 7.8763
angles: 111.19 106.77 90.00
Element x y z (fractional)
Pd1 0.1835 0.6783 0.3671
Pd2 0.8165 0.3217 0.6329
Mg1 0.0222 0.7771 0.0443
Mg2 0.1874 0.2624 0.3748
Mg3 0.6037 0.4337 0.2075
Mg4 0.3963 0.5663 0.7925
Mg5 0.3381 0.0689 0.6762
Mg6 0.9778 0.2229 0.9557
Mg7 0.6619 0.9311 0.3238
Mg8 0.8126 0.7376 0.6252
Ni1 0.5000 0.0000 0.0000

Computed properties:
ΔE_f ... -31 kJ/mol of atoms
Space group ... C2/m

---

Computed, not measured: a relaxed structure of NpGaSi2 at the GGA-PBE level of DFT.

abc: 5.8776 5.7770 5.7770
angles: 83.11 59.42 59.42
Last column: magnetic moment on the atom in μB.
Element x y z (fractional)
Si1 0.3097 0.6903 0.1903  -0.04
Si2 0.1903 0.3097 0.8097  -0.04
Si3 0.6903 0.3097 0.8097  -0.04
Si4 0.8097 0.6903 0.1903  -0.04
Np1 0.7500 0.7988 0.7012  3.42
Np2 0.2500 0.2012 0.2988  3.42
Ga1 0.2500 0.7977 0.7023  0.04
Ga2 0.7500 0.2023 0.2977  0.04

Computed properties:
Formation energy (no corrections) ... -0.122 eV/atom
Space group ... Imma

---

Computed, not measured: a relaxed structure of LaPmNdTe3 at the GGA-PBE level of DFT.

abc: 4.4087 8.7745 11.0964
angles: 105.32 90.00 90.00
Last column: magnetic moment on the atom in μB.
Element x y z (fractional)
Te1 0.2500 0.0871 0.8933  0.00
Te2 0.2500 0.7769 0.5590  0.00
Te3 0.7500 0.2231 0.4410  0.00
Te4 0.7500 0.4731 0.2013  0.00
Te5 0.7500 0.9129 0.1067  0.00
Te6 0.2500 0.5269 0.7987  0.00
Pm1 0.2500 0.6601 0.0955  0.11
Pm2 0.7500 0.3399 0.9045  0.11
La1 0.7500 0.8124 0.7860  0.01
La2 0.2500 0.1876 0.2140  0.01
Nd1 0.2500 0.1576 0.6204  0.16
Nd2 0.7500 0.8424 0.3796  0.16

Computed properties:
Formation energy (no corrections) ... -1.336 eV/atom
Space group ... P2_1/m

---

Computed, not measured: a relaxed structure of Ce2PuPdS5 at the GGA-PBE level of DFT.

abc: 3.9126 8.4948 11.7943
angles: 90.00 90.00 103.31
Last column: magnetic moment on the atom in μB.
Element x y z (fractional)
S1 0.3577 0.7154 0.0053  -0.07
S2 0.7047 0.4094 0.1748  -0.09
S3 0.6907 0.3814 0.8502  -0.10
S4 0.9614 0.9227 0.5646  -0.11
S5 0.2953 0.5906 0.6748  -0.09
S6 0.3093 0.6186 0.3502  -0.10
S7 0.5037 0.0073 0.2607  -0.05
S8 0.0386 0.0773 0.0646  -0.11
S9 0.6423 0.2846 0.5053  -0.07
S10 0.4963 0.9927 0.7607  -0.05
Pd1 0.5459 0.0917 0.9465  -0.17
Pd2 0.4541 0.9083 0.4465  -0.17
Ce1 0.8872 0.7745 0.1914  0.77
Ce2 0.1200 0.2401 0.3179  0.76
Ce3 0.8800 0.7599 0.8179  0.76
Ce4 0.1128 0.2255 0.6914  0.77
Pu1 0.1933 0.3865 0.0126  4.90
Pu2 0.8067 0.6135 0.5126  4.90

Computed properties:
Formation energy (no corrections) ... -1.586 eV/atom
Space group ... Cmc2_1

---

Computed, not measured: a relaxed structure of PmHoIrPb at the GGA-PBE level of DFT.

abc: 3.5284 3.5284 8.0852
angles: 90.00 90.00 90.00
Element x y z (fractional)
Ho1 0.5000 0.5000 0.3671
Pm1 0.5000 0.5000 0.7774
Pb1 0.0000 0.0000 0.0813
Ir1 0.0000 0.0000 0.5590

Computed properties:
ΔE_f ... -62 kJ/mol of atoms
Space group ... P4mm

---

| no. | E (eV for the cell shown) | calculated density (g/cm³) |
| --- | --- | --- |
| 1 | -102.7 | 6.30 |
| 2 | -73.9 | 6.28 |
| 3 | -22.5 | 6.11 |
| 4 | -29.2 | 8.31 |
| 5 | -62.0 | 3.96 |
| 6 | -10.5 | 10.10 |
| 7 | -32.4 | 3.77 |
| 8 | -54.6 | 8.44 |
| 9 | -63.8 | 6.51 |
| 10 | -132.6 | 6.89 |
| 11 | -24.5 | 11.70 |